Here is an optimized crystal structure of SmB4 from Alexandria via LeMat-Bulk. Energies are from PBE.

POSCAR file:
```
SmB4
1.0
4.782 0.000 0.000
0.000 4.782 0.000
0.000 0.000 4.782
Sm B
1 4
Direct
0.000 0.000 0.000
0.000 0.000 0.500
0.000 0.500 0.000
0.500 0.000 0.000
0.500 0.500 0.500
```

Values from the calculation:
energy relative to the elements	73.5	kcal/mol of atoms
density	2940	kg/m³
symmetry	No. 221
N(E_F)	6.63	states/eV/f.u.
V	21.87	A^3/atom

=====

Here is an optimized crystal structure of Sm2B5 from Alexandria via LeMat-Bulk. Energies are from PBE.

POSCAR file:
```
Sm2B5
1.0
7.217 0.000 0.000
0.000 7.221 0.000
-1.478 0.000 7.101
Sm B
8 20
Direct
0.235 0.191 0.133
0.235 0.309 0.633
0.241 0.684 0.258
0.241 0.816 0.758
0.759 0.184 0.242
0.759 0.316 0.742
0.765 0.691 0.367
0.765 0.809 0.867
0.079 0.506 0.932
0.079 0.994 0.432
0.317 0.501 0.964
0.317 0.999 0.464
0.497 0.538 0.827
0.497 0.962 0.327
0.498 0.173 0.460
0.498 0.327 0.960
0.499 0.590 0.590
0.499 0.910 0.090
0.501 0.090 0.910
0.501 0.410 0.410
0.502 0.673 0.040
0.502 0.827 0.540
0.503 0.038 0.673
0.503 0.462 0.173
0.683 0.001 0.536
0.683 0.499 0.036
0.921 0.006 0.568
0.921 0.494 0.068
```

Values from the calculation:
energy relative to the elements	-12.8	kcal/mol of atoms
density	6368	kg/m³
symmetry	No. 14
N(E_F)	1.50	states/eV/f.u.
V	13.22	A^3/atom

=====

Which value of density does entry 2 give?
6368 kg/m³

=====

Copy entry 2 word for word.
Here is an optimized crystal structure of Sm2B5 from Alexandria via LeMat-Bulk. Energies are from PBE.

POSCAR file:
```
Sm2B5
1.0
7.217 0.000 0.000
0.000 7.221 0.000
-1.478 0.000 7.101
Sm B
8 20
Direct
0.235 0.191 0.133
0.235 0.309 0.633
0.241 0.684 0.258
0.241 0.816 0.758
0.759 0.184 0.242
0.759 0.316 0.742
0.765 0.691 0.367
0.765 0.809 0.867
0.079 0.506 0.932
0.079 0.994 0.432
0.317 0.501 0.964
0.317 0.999 0.464
0.497 0.538 0.827
0.497 0.962 0.327
0.498 0.173 0.460
0.498 0.327 0.960
0.499 0.590 0.590
0.499 0.910 0.090
0.501 0.090 0.910
0.501 0.410 0.410
0.502 0.673 0.040
0.502 0.827 0.540
0.503 0.038 0.673
0.503 0.462 0.173
0.683 0.001 0.536
0.683 0.499 0.036
0.921 0.006 0.568
0.921 0.494 0.068
```

Values from the calculation:
energy relative to the elements	-12.8	kcal/mol of atoms
density	6368	kg/m³
symmetry	No. 14
N(E_F)	1.50	states/eV/f.u.
V	13.22	A^3/atom

=====

The lowest V belongs to which entry?
Sm2B5

=====

The lowest density belongs to which entry?
SmB4